Pm4Si2O (PBE, optimized geometry); calculated total energy = -6.13 eV/atom; mass density = 6.28 g/cm3; relative energy among the computed polymorphs = 0 kJ/mol of formula units; total moment = 0.00 μB/f.u.; formation energy (no corrections) = -1.162 eV per atom
1.0
4.6405 0.0000 0.0000
0.0000 4.6405 0.0000
-2.3203 -2.3203 8.0049
Si Pm O
2 4 1
Cartesian
2.3203 2.3203 2.1758
0.0000 0.0000 5.8291
0.0000 0.0000 2.8505
0.0000 2.3203 0.0000
2.3203 2.3203 5.1543
2.3203 0.0000 0.0000
0.0000 0.0000 0.0000